RbPuF2: optimized geometry, GGA-PBE.

It has space group R-3m (No. 166, hexagonal axes), with a = 4.1859 Å, b = 4.1859 Å, c = 21.7596 Å, α = 90.00°, β = 90.00° and γ = 120.00°. The distinct sites, in fractional coordinates, are Rb at (0.0000, 0.0000, 0.0000), Pu at (0.0000, 0.0000, 0.5000) and F at (0.0000, 0.0000, 0.1380).

As for the size of the total moment: 19.2 μB per cell. The formation energy without anion corrections is -216 kJ per mole of atoms.

Rb2PuF7: optimized geometry, GGA-PBE.

It has space group Fm-3m (No. 225), with a = 9.624 Å, b = 9.624 Å, c = 9.624 Å, α = 90.00°, β = 90.00° and γ = 90.00°. The distinct sites, in fractional coordinates, are Rb at (0.250, 0.250, 0.250), Pu at (0.000, 0.000, 0.000), F at (0.000, 0.000, 0.218) and F at (0.000, 0.000, 0.500).

The energy above the most stable polymorph in this dataset is 227.8 meV/atom. As for the size of the total moment: 12.0 μB per cell. The formation energy without anion corrections is -272 kJ per mole of atoms.

RbPu2F9: optimized geometry, GGA-PBE.

It has space group P6/mmm (No. 191), with a = 7.7836 Å, b = 7.7836 Å, c = 3.5996 Å, α = 90.00°, β = 90.00° and γ = 120.00°. The distinct sites, in fractional coordinates, are Rb at (0.0000, 0.0000, 0.0000), Pu at (0.3333, 0.6667, 0.0000), F at (0.0000, 0.5000, 0.0000) and F at (0.2215, 0.4429, 0.5000).

As for the size of the total moment: 8.0 μB per cell. The formation energy without anion corrections is -311 kJ per mole of atoms.

Repeat the first record exactly.
RbPuF2: optimized geometry, GGA-PBE.

It has space group R-3m (No. 166, hexagonal axes), with a = 4.1859 Å, b = 4.1859 Å, c = 21.7596 Å, α = 90.00°, β = 90.00° and γ = 120.00°. The distinct sites, in fractional coordinates, are Rb at (0.0000, 0.0000, 0.0000), Pu at (0.0000, 0.0000, 0.5000) and F at (0.0000, 0.0000, 0.1380).

As for the size of the total moment: 19.2 μB per cell. The formation energy without anion corrections is -216 kJ per mole of atoms.

Q: Number 2 is which compound?
A: Rb2PuF7